The following is a DFT calculation (PBE with a Hubbard U) of a relaxed structure of NaLi2CrO4.

POSCAR file:
```
NaLi2CrO4
1.0
-0.3572 -4.3297 2.9261
4.6333 0.5605 2.3779
-3.6710 3.7349 -0.1012
Na Li Cr O
1 2 1 4
direct
0.5000 0.5000 0.0000 Na
0.7500 0.2500 0.5000 Li
0.2500 0.7500 0.5000 Li
0.0000 0.0000 0.0000 Cr
0.6695 0.6695 0.6012 O
0.9317 0.3305 0.0000 O
0.3305 0.9317 0.0000 O
0.0683 0.0683 0.3988 O
```

Space-group type: I-42m
Theoretical density (g/cm³): 2.65
Total magnetization (Bohr magnetons per cell): 1.0
Energy (eV/atom): -5.83